! LiCu2Tc PBE relaxed; values from VASP
! Space group: R3m (160)
! Formation energy from the elements: 207.3 meV per atom
! Energy above the lowest structure with this stoichiometry: 102 meV per atom
! Total DFT energy (no corrections): -4.9108 eV/atom
&SYSTEM
  ibrav = 0, nat = 4, ntyp = 3
/
ATOMIC_SPECIES
Li 6.94 Li.upf
Cu 63.55 Cu.upf
Tc 98.00 Tc.upf
CELL_PARAMETERS angstrom
1.318 0.761 8.857
-1.318 0.761 8.857
0.000 -1.522 8.857
ATOMIC_POSITIONS crystal
Li 0.000 0.000 0.000
Cu 0.250 0.250 0.250
Cu 0.505 0.505 0.505
Tc 0.755 0.755 0.755